NaAl2Re | PBE | relaxed

Computed properties:
* electronic total energy: -35.4 eV for the cell shown
* energy of formation: 0.89 eV per atom
* total moment: 0.00 Bohr magnetons per cell

```
8
Lattice="4.302 0.000 0.000 0.000 4.302 0.000 2.151 2.151 8.824" Properties=species:S:1:pos:R:3 pbc="T T T"
Re 0.000 0.000 0.000
Re 4.302 2.151 4.412
Al 3.565 1.075 2.206
Al 0.736 3.226 2.206
Al 3.226 2.887 6.618
Al 5.377 5.716 6.618
Na 2.151 2.151 0.000
Na 2.151 4.302 4.412
```

AgSbI3 | PBE | relaxed

Computed properties:
* electronic total energy: -10.7 eV for the cell shown
* E_form (uncorrected): 18.09 kJ per mole of atoms
* total moment: 0.00 Bohr magnetons per cell

```
5
Lattice="-0.674 -4.699 -3.702 -3.033 -2.942 4.287 -5.156 2.345 -2.038" Properties=species:S:1:pos:R:3 pbc="T T T"
I -1.516 -1.471 2.144
I -2.578 1.173 -1.019
I -0.337 -2.349 -1.851
Sb 0.000 0.000 0.000
Ag -4.432 -2.648 -0.726
```

Ce2SnC | PBE | relaxed

Computed properties:
* electronic total energy: -26.5 eV for the cell shown
* energy of formation: -0.36 eV per atom
* total moment: 0.28 Bohr magnetons per cell

```
4
Lattice="-2.809 0.290 -2.221 -2.606 -2.473 0.066 -5.872 3.711 5.005" Properties=species:S:1:pos:R:3 pbc="T T T"
C -5.643 0.764 1.425
Sn 0.000 0.000 0.000
Ce -8.152 0.804 1.696
Ce -3.135 0.724 1.153
```

Cs2RbSiTe4 | PBE | relaxed

Computed properties:
* electronic total energy: -50.6 eV for the cell shown
* E_form (uncorrected): -55.76 kJ per mole of atoms
* total moment: 0.00 Bohr magnetons per cell

```
16
Lattice="7.859 0.000 0.000 3.929 7.885 0.000 3.929 0.000 12.950" Properties=species:S:1:pos:R:3 pbc="T T T"
Cs 3.929 0.000 8.110
Cs 7.859 0.000 4.840
Cs 9.823 3.942 11.315
Cs 9.823 3.942 1.635
Rb 9.823 3.942 6.475
Rb 0.000 0.000 0.000
Si 5.894 3.942 6.475
Si 3.929 0.000 0.000
Te 6.572 6.309 1.568
Te 6.572 1.576 11.382
Te 13.074 6.309 11.382
Te 5.216 1.576 1.568
Te 7.180 5.518 4.907
Te 7.180 2.366 8.043
Te 12.466 5.518 8.043
Te 4.607 2.366 4.907
```

Q: Number 1 is which compound?
A: NaAl2Re

Q: The highest electronic total energy belongs to which entry?
A: AgSbI3

Q: What is the total moment in the third record?
A: 0.28 Bohr magnetons per cell